(1)
5
Lattice="5.209 0.000 0.000 0.000 5.209 0.000 0.000 0.000 5.644" Properties=species:S:1:pos:R:3 comment="HfTlGa2Br (GGA-PBE, relaxed)" e_tot_ev_per_atom=-3.012 crystal_system=tetragonal magnetic_moment_mub_per_fu=0.00 e_form_raw_ev_per_atom=1.00 space_group="P4/mmm, No. 123" pbc="T T T"
Hf 0.000 0.000 0.000
Tl 2.604 2.604 2.822
Ga 0.000 2.604 2.822
Ga 2.604 0.000 2.822
Br 2.604 2.604 0.000



(2)
5
Lattice="5.217 0.000 0.000 0.000 5.217 0.000 0.000 0.000 4.772" Properties=species:S:1:pos:R:3 comment="Hf2GaWBr (GGA-PBE, relaxed)" e_tot_ev_per_atom=-6.438 crystal_system=tetragonal magnetic_moment_mub_per_fu=0.00 e_form_raw_ev_per_atom=1.07 space_group="P4/mmm, No. 123" pbc="T T T"
Hf 0.000 2.609 0.000
Hf 2.609 0.000 0.000
Ga 0.000 0.000 2.386
W 2.609 2.609 0.000
Br 2.609 2.609 2.386



(3)
5
Lattice="5.186 0.000 0.000 0.000 5.186 0.000 0.000 0.000 4.443" Properties=species:S:1:pos:R:3 comment="Hf2ZnGaBr (GGA-PBE, relaxed)" e_tot_ev_per_atom=-4.547 crystal_system=tetragonal magnetic_moment_mub_per_fu=1.72 e_form_raw_ev_per_atom=0.63 space_group="P4/mmm, No. 123" pbc="T T T"
Hf 0.000 2.593 0.000
Hf 2.593 0.000 0.000
Zn 0.000 0.000 2.221
Ga 0.000 0.000 0.000
Br 2.593 2.593 2.221



(4)
10
Lattice="6.159 -4.273 0.000 6.159 4.273 0.000 -3.046 0.000 6.264" Properties=species:S:1:pos:R:3 comment="GaHg3Br (GGA-PBE, relaxed)" e_tot_ev_per_atom=-1.285 crystal_system=monoclinic magnetic_moment_mub_per_fu=0.00 e_form_raw_ev_per_atom=-0.16 e_above_lowest_polymorph_ev_per_atom=0.000 space_group="C2, No. 5" pbc="T T T"
Ga 1.655 0.000 2.900
Ga 7.617 0.000 3.364
Hg -2.207 -0.096 4.887
Hg 5.463 -0.422 1.404
Hg 3.809 -0.422 4.860
Hg 2.973 -2.347 1.866
Hg 6.299 -2.347 4.398
Hg 11.479 -0.096 1.377
Br 2.757 1.911 1.401
Br 6.516 1.911 4.863



(5)
7
Lattice="-2.717 2.717 7.842 2.717 -2.717 7.842 2.717 2.717 -7.842" Properties=species:S:1:pos:R:3 comment="GaHg4Br2 (GGA-PBE, relaxed)" e_tot_ev_per_atom=-1.264 crystal_system=tetragonal magnetic_moment_mub_per_fu=0.00 e_form_raw_ev_per_atom=-0.18 space_group="I4/mmm, No. 139" pbc="T T T"
Ga 0.000 0.000 0.000
Hg 2.717 0.000 0.000
Hg 0.000 0.000 2.567
Hg 0.000 2.717 0.000
Hg 0.000 0.000 13.117
Br 0.000 0.000 5.181
Br 0.000 0.000 10.503



(6)
8
Lattice="-4.154 4.154 5.892 4.154 -4.154 5.892 4.154 4.154 -5.892" Properties=species:S:1:pos:R:3 comment="GaHgBr2 (GGA-PBE, relaxed)" e_tot_ev_per_atom=-2.107 crystal_system=tetragonal magnetic_moment_mub_per_fu=0.00 e_form_raw_ev_per_atom=-0.44 e_above_lowest_polymorph_ev_per_atom=0.000 space_group="I-42d, No. 122" pbc="T T T"
Ga 0.000 0.000 0.000
Ga 0.000 4.154 2.946
Hg 4.154 0.000 2.946
Hg 0.000 0.000 5.892
Br 0.013 2.077 1.473
Br -2.077 4.140 4.419
Br -0.013 6.230 1.473
Br 2.077 4.167 4.419



(7)
5
Lattice="5.249 0.000 0.000 0.000 5.249 0.000 0.000 0.000 5.249" Properties=species:S:1:pos:R:3 comment="GaHgBr3 (GGA-PBE, relaxed)" e_tot_ev_per_atom=-2.031 crystal_system=cubic magnetic_moment_mub_per_fu=0.00 e_form_raw_ev_per_atom=-0.36 e_above_lowest_polymorph_ev_per_atom=0.258 space_group="Pm-3m, No. 221" pbc="T T T"
Ga 0.000 0.000 0.000
Hg 2.625 2.625 2.625
Br 0.000 0.000 2.625
Br 0.000 2.625 0.000
Br 2.625 0.000 0.000



(8)
10
Lattice="8.413 0.000 0.000 0.000 8.413 0.000 0.000 0.000 3.645" Properties=species:S:1:pos:R:3 comment="Ga2Hg2Br (GGA-PBE, relaxed)" e_tot_ev_per_atom=-1.701 crystal_system=tetragonal magnetic_moment_mub_per_fu=0.00 e_form_raw_ev_per_atom=-0.03 e_above_lowest_polymorph_ev_per_atom=0.004 space_group="P4/mbm, No. 127" pbc="T T T"
Ga 1.414 2.793 0.000
Ga 2.793 6.999 0.000
Ga 5.620 1.414 0.000
Ga 6.999 5.620 0.000
Hg 1.147 5.354 1.822
Hg 3.059 1.147 1.822
Hg 5.354 7.265 1.822
Hg 7.265 3.059 1.822
Br 0.000 0.000 1.822
Br 4.206 4.206 1.822



(9)
4
Lattice="2.137 1.234 7.224 -2.137 1.234 7.224 0.000 -2.468 7.224" Properties=species:S:1:pos:R:3 comment="GaHg2Br (GGA-PBE, relaxed)" e_tot_ev_per_atom=-1.477 crystal_system=trigonal magnetic_moment_mub_per_fu=0.00 e_form_raw_ev_per_atom=-0.15 e_above_lowest_polymorph_ev_per_atom=0.099 space_group="R-3m, No. 166" pbc="T T T"
Ga 0.000 0.000 0.000
Hg 0.000 0.000 5.620
Hg 0.000 0.000 16.054
Br 0.000 0.000 10.837



(10)
18
Lattice="8.520 0.000 0.000 0.000 10.549 0.000 -6.456 0.000 8.352" Properties=species:S:1:pos:R:3 comment="GaHg2Br6 (GGA-PBE, relaxed)" e_tot_ev_per_atom=-1.962 crystal_system=monoclinic magnetic_moment_mub_per_fu=0.00 e_form_raw_ev_per_atom=-0.44 space_group="P2_1/c, No. 14" pbc="T T T"
Ga 0.000 0.000 0.000
Ga -3.228 5.274 4.176
Hg -1.522 2.577 2.171
Hg -4.750 2.697 6.346
Hg 6.814 7.852 2.005
Hg 3.586 7.971 6.181
Br -2.572 7.866 4.698
Br 0.657 7.957 0.523
Br -3.995 0.429 7.868
Br -0.767 4.845 3.692
Br 0.382 0.529 2.452
Br -2.846 4.745 6.628
Br 4.910 5.804 1.724
Br 1.682 10.019 5.899
Br 2.832 5.704 4.659
Br 6.060 10.119 0.483
Br 1.408 2.591 7.829
Br 4.636 2.683 3.653